1.
This record from Alexandria describes a relaxed RbRh crystal. The functional is PBE.

Structure (POSCAR):
```
RbRh
1.0
6.631 0.000 0.000
0.000 8.171 0.000
0.000 0.000 10.366
Rb Rh
8 8
direct
0.061 0.104 0.000 Rb
0.126 0.652 0.135 Rb
0.374 0.348 0.635 Rb
0.439 0.896 0.500 Rb
0.561 0.396 0.000 Rb
0.626 0.848 0.865 Rb
0.874 0.152 0.365 Rb
0.939 0.604 0.500 Rb
0.020 0.995 0.674 Rh
0.129 0.753 0.779 Rh
0.371 0.247 0.279 Rh
0.480 0.005 0.174 Rh
0.520 0.505 0.326 Rh
0.629 0.747 0.221 Rh
0.871 0.253 0.721 Rh
0.980 0.495 0.826 Rh
```

Summary:
Fermi-level density of states   24.55 states/eV per cell
Energy of formation from the pure elements   0.63 eV per atom
VASP energy   -0.1296 hartree per atom

***

2.
This record from Alexandria describes a relaxed SrHg6O8 crystal. The functional is PBE.

Structure (POSCAR):
```
SrHg6O8
1.0
4.800 2.771 2.961
-4.800 2.771 2.961
0.000 -5.542 2.961
Sr Hg O
1 6 8
direct
0.000 0.000 0.000 Sr
0.085 0.289 0.540 Hg
0.289 0.540 0.085 Hg
0.460 0.915 0.711 Hg
0.540 0.085 0.289 Hg
0.711 0.460 0.915 Hg
0.915 0.711 0.460 Hg
0.174 0.686 0.793 O
0.207 0.826 0.314 O
0.299 0.299 0.299 O
0.314 0.207 0.826 O
0.686 0.793 0.174 O
0.701 0.701 0.701 O
0.793 0.174 0.686 O
0.826 0.314 0.207 O
```

Summary:
Fermi-level density of states   6.79 states/eV per cell
Energy relative to the elements, uncorrected   -0.450 eV/atom
VASP energy   -0.1223 hartree per atom

***

Q: Which of these has the highest VASP energy?
A: SrHg6O8

***

Q: Which of these has the highest Fermi-level density of states?
A: RbRh

***

Q: Look up the Fermi-level density of states of the second one.
A: 6.79 states/eV per cell